# 1
Zn5Cu3 after structural relaxation, computed with GGA-PBE.

The structure in extended XYZ format:
```
16
Lattice="4.7956 0.0000 0.0629 2.3978 6.7974 0.0314 -2.2988 0.0000 6.7191" Properties=species:S:1:pos:R:3 pbc="T T T"
Cu 3.5977 6.7463 0.0496
Zn 2.4690 5.7405 4.7401
Cu 3.5977 0.0511 0.0496
Zn 3.6469 3.3987 3.4992
Zn 2.4280 5.7408 2.0786
Cu 2.6019 3.3987 1.0781
Zn 2.4280 1.0566 2.0786
Cu 0.0509 1.0482 3.3783
Zn 2.4690 1.0569 4.7401
Cu 2.2940 3.3987 5.7414
Zn 1.2499 3.3987 3.3203
Cu 4.8464 5.7492 3.4411
Zn 4.9082 2.0585 1.0999
Zn 4.9082 4.7389 1.0999
Zn -0.0119 2.0585 5.7193
Zn -0.0119 4.7389 5.7193
```

Output
As for the energy of formation from the pure elements: -0.030 eV/atom. Its energy above the most stable polymorph in this dataset is 38 meV per atom.

# 2
Hf2HRh after structural relaxation, computed with GGA-PBE.

The structure in extended XYZ format:
```
4
Lattice="0.0000 3.1715 3.1715 3.1715 0.0000 3.1715 3.1715 3.1715 0.0000" Properties=species:S:1:pos:R:3 pbc="T T T"
Hf 1.5858 1.5858 1.5858
Hf 4.7573 4.7573 4.7573
H 0.0000 0.0000 0.0000
Rh 3.1715 3.1715 3.1715
```

Output
Its energy above the most stable polymorph in this dataset is 422 meV per atom.

# 3
NiHgS2Cl after structural relaxation, computed with GGA-PBE.

The structure in extended XYZ format:
```
5
Lattice="-1.8440 -4.4662 -0.8947 1.1391 0.5610 -5.1481 4.4309 -1.9825 0.7643" Properties=species:S:1:pos:R:3 pbc="T T T"
S 2.2155 -0.9913 0.3822
Hg 0.0000 0.0000 0.0000
Cl 1.8630 -2.9439 -2.6392
S -0.9220 -2.2331 -0.4473
Ni 0.5695 0.2805 -2.5741
```

Output
The value obtained for the raw formation energy is 1102 meV per atom. Its energy above the most stable polymorph in this dataset is 891 meV per atom.

# 4
Ca2GdMg after structural relaxation, computed with GGA-PBE.

The structure in extended XYZ format:
```
4
Lattice="5.4093 0.0000 0.0000 0.0000 5.0139 0.0000 0.0000 0.0000 5.0139" Properties=species:S:1:pos:R:3 pbc="T T T"
Ca 0.0000 0.0000 2.5070
Gd 2.7046 2.5070 2.5070
Mg 2.7046 0.0000 0.0000
Ca 0.0000 2.5070 0.0000
```

Output
As for the energy of formation from the pure elements: 0.061 eV/atom. Its energy above the most stable polymorph in this dataset is 25 meV per atom.

# 5
CeCuSbO after structural relaxation, computed with GGA-PBE.

The structure in extended XYZ format:
```
8
Lattice="4.0627 0.0000 0.0000 0.0000 4.0627 0.0000 0.0000 0.0000 9.0604" Properties=species:S:1:pos:R:3 pbc="T T T"
O 0.0000 0.0000 4.5302
Cu 2.0313 2.0313 0.0000
Ce 0.0000 2.0313 3.3300
Ce 2.0313 0.0000 5.7304
O 2.0313 2.0313 4.5302
Cu 0.0000 0.0000 0.0000
Sb 0.0000 2.0313 7.4088
Sb 2.0313 0.0000 1.6516
```

Output
The value obtained for the raw formation energy is -1665 meV per atom.

# 6
KSn2Hg after structural relaxation, computed with GGA-PBE.

The structure in extended XYZ format:
```
4
Lattice="-0.5859 -0.6908 3.8744 -0.1533 -3.9101 -0.7204 7.7581 -0.5037 1.0834" Properties=species:S:1:pos:R:3 pbc="T T T"
Sn 1.4450 -0.0938 0.2018
K 3.5095 -2.5523 2.1187
Hg -0.3696 -2.3005 1.5770
Sn 6.3131 -0.4099 0.8816
```

Output
As for the energy of formation from the pure elements: -0.068 eV/atom.

# 7
Pm12Sb6N after structural relaxation, computed with GGA-PBE.

The structure in extended XYZ format:
```
19
Lattice="-6.7124 -2.5694 -4.7343 -3.1929 -1.4530 7.8591 -1.1628 8.5167 -0.4301" Properties=species:S:1:pos:R:3 pbc="T T T"
Pm -7.6863 -2.4479 -2.3996
Pm -3.9374 0.9200 7.3810
N 0.0000 0.0000 0.0000
Sb -5.4010 -1.0772 -0.7631
Pm -6.2447 4.7529 0.4547
Pm -4.8234 -0.2585 2.2401
Sb -3.1165 4.5424 -0.7529
Pm -7.7230 -3.1117 4.0317
Pm -3.2769 3.5825 2.1857
Sb -5.6671 5.5716 3.4579
Pm -4.7994 1.9141 -1.2851
Pm -3.3450 7.6061 -1.3370
Pm -6.2687 2.5802 3.9799
Pm -3.3818 6.9422 5.0944
Sb -3.1910 1.2892 4.3667
Sb -7.9515 -0.0481 3.4477
Pm -7.1307 3.5743 -4.6863
Pm -7.7912 0.9119 0.5091
Sb -7.8770 3.2051 -1.6719
```

Output
The value obtained for the raw formation energy is -782 meV per atom.

# 8
TbErH after structural relaxation, computed with GGA-PBE.

The structure in extended XYZ format:
```
3
Lattice="3.3338 0.0000 0.0000 0.0000 3.3338 0.0000 -1.6669 -1.6669 6.0138" Properties=species:S:1:pos:R:3 pbc="T T T"
Er 1.6669 1.6669 2.9387
Tb 0.0000 0.0000 0.4259
H 0.0000 0.0000 2.6492
```

Output
Its energy above the most stable polymorph in this dataset is 128 meV per atom.

# 9
PmBePPd after structural relaxation, computed with GGA-PBE.

The structure in extended XYZ format:
```
8
Lattice="-2.4546 -0.9236 -3.1475 -1.0015 -3.5324 1.8176 -6.6597 3.9624 4.0310" Properties=species:S:1:pos:R:3 pbc="T T T"
Be -3.0442 -0.2529 2.4483
Be -5.3436 1.9873 0.9178
Pd -3.3299 1.9812 2.0155
P -1.4565 -1.1975 1.4873
Pd -5.0579 -0.2468 1.3506
Pm -2.4473 0.2641 -0.8353
Pm -5.9405 1.4703 4.2013
P -6.9313 2.9320 1.8788
```

Output
As for the energy of formation from the pure elements: -0.944 eV/atom.

# 10
Li2ZnSn after structural relaxation, computed with GGA-PBE.

The structure in extended XYZ format:
```
4
Lattice="-2.9016 -2.2479 2.7631 -2.3223 2.2847 3.2396 -4.5312 0.6245 -0.4308" Properties=species:S:1:pos:R:3 pbc="T T T"
Li -2.4388 0.1653 1.3930
Sn -4.8775 0.3306 2.7859
Zn 0.0000 0.0000 0.0000
Li -7.3163 0.4959 4.1789
```

Output
As for the energy of formation from the pure elements: -0.264 eV/atom.

# 11
ZrPa2Si after structural relaxation, computed with GGA-PBE.

The structure in extended XYZ format:
```
4
Lattice="4.7302 0.0000 0.0000 0.0000 4.2517 0.0000 0.0000 0.0000 4.2517" Properties=species:S:1:pos:R:3 pbc="T T T"
Pa 0.0000 0.0000 2.1259
Zr 2.3651 2.1259 2.1259
Si 2.3651 0.0000 0.0000
Pa 0.0000 2.1259 0.0000
```

Output
The value obtained for the raw formation energy is -299 meV per atom. Its energy above the most stable polymorph in this dataset is 0 meV per atom.

# 12
ReSe2SBr after structural relaxation, computed with GGA-PBE.

The structure in extended XYZ format:
```
5
Lattice="-4.0666 -0.3489 -2.5621 2.5052 -1.7144 -3.7428 -0.6746 -4.7289 1.7146" Properties=species:S:1:pos:R:3 pbc="T T T"
Br -0.3373 -2.3645 0.8573
S -1.1180 -3.3961 -2.2952
Se 1.2526 -0.8572 -1.8714
Se -2.0333 -0.1744 -1.2811
Re 0.0000 0.0000 0.0000
```

Output
The value obtained for the raw formation energy is 723 meV per atom. Its energy above the most stable polymorph in this dataset is 0 meV per atom.

# 13
Li12PtAu6 after structural relaxation, computed with GGA-PBE.

The structure in extended XYZ format:
```
19
Lattice="6.7702 0.4165 0.4990 -0.6147 6.7551 0.4990 -0.6147 -0.7161 6.7355" Properties=species:S:1:pos:R:3 pbc="T T T"
Li 0.6668 2.8560 4.1921
Li 2.8190 2.5260 5.9099
Li 3.1422 6.2585 6.5497
Li -0.1690 0.7357 2.5737
Au 4.6050 2.0892 1.3122
Au 4.1739 6.0344 2.7089
Li 5.7098 5.7198 5.1598
Li 0.7528 2.5422 0.4053
Li 2.3987 0.1970 1.1838
Au 0.9359 4.3663 6.4213
Au 1.3669 0.4211 5.0246
Li 2.0694 5.2485 4.1744
Li 4.7880 3.9133 7.3282
Pt 0.0000 0.0000 0.0000
Li 4.8741 3.5995 3.5414
Li 2.7219 3.9295 1.8236
Au 5.3318 1.7646 5.4434
Au 0.2090 4.6909 2.2901
Li 3.4715 1.2070 3.5591
```

Output
As for the energy of formation from the pure elements: -0.446 eV/atom.

# 14
TlSb2Pt7 after structural relaxation, computed with GGA-PBE.

The structure in extended XYZ format:
```
10
Lattice="3.9592 0.0000 -0.7618 -0.1466 3.9565 -0.7618 0.2317 0.2405 11.8734" Properties=species:S:1:pos:R:3 pbc="T T T"
Pt 1.6690 3.7863 8.6738
Pt 3.7219 1.8080 8.6738
Sb 2.6313 2.7306 3.0059
Pt 2.3754 0.4107 1.6759
Tl 0.0000 0.0000 0.0000
Pt 3.0486 1.1094 5.1749
Pt 0.3225 2.3890 1.6759
Pt 0.9957 3.0876 5.1749
Pt 1.9063 1.9782 -0.7618
Sb 1.4131 1.4664 7.3439
```

Output
The value obtained for the raw formation energy is -206 meV per atom.

# 15
ZrZn2Ru after structural relaxation, computed with GGA-PBE.

The structure in extended XYZ format:
```
4
Lattice="4.6152 -0.0024 0.0000 -1.5208 4.3575 0.0000 0.0000 0.0000 3.2145" Properties=species:S:1:pos:R:3 pbc="T T T"
Ru -0.7604 2.1787 1.6072
Zr 2.3076 -0.0012 1.6072
Zn 0.0000 0.0000 0.0000
Zn 1.5472 2.1775 0.0000
```

Output
As for the energy of formation from the pure elements: -0.119 eV/atom.

# 16
EuHgPb after structural relaxation, computed with GGA-PBE.

The structure in extended XYZ format:
```
3
Lattice="-2.4411 2.9614 0.4846 -3.9756 -3.1034 -1.0612 1.6210 0.5404 4.8625" Properties=species:S:1:pos:R:3 pbc="T T T"
Pb -0.8433 0.0521 3.0068
Eu -3.7727 0.1281 1.2434
Hg -0.1798 0.2181 0.0357
```

Output
As for the energy of formation from the pure elements: -0.414 eV/atom.

# 17
MnP2CI after structural relaxation, computed with GGA-PBE.

The structure in extended XYZ format:
```
5
Lattice="5.0917 0.0000 0.0000 0.0000 5.0917 0.0000 0.0000 0.0000 4.0321" Properties=species:S:1:pos:R:3 pbc="T T T"
I 0.0000 0.0000 0.0000
P 0.0000 2.5458 0.0000
P 2.5458 0.0000 0.0000
Mn 2.5458 2.5458 2.0161
C 0.0000 0.0000 2.0161
```

Output
The value obtained for the raw formation energy is 2732 meV per atom.

# 18
Sr5Pu3H12 after structural relaxation, computed with GGA-PBE.

The structure in extended XYZ format:
```
80
Lattice="12.0350 0.0000 0.0000 -4.0117 11.3467 0.0000 -4.0117 -5.6733 9.8265" Properties=species:S:1:pos:R:3 pbc="T T T"
H 6.1080 2.8710 3.3928
H -0.1421 7.0437 0.7937
H 3.9211 1.5371 5.7032
H 2.6250 1.0788 3.3296
Sr -4.0117 2.8367 4.9132
H 4.6824 -0.6228 5.7069
Pu 3.0087 0.0000 7.3699
H 0.0905 4.1362 4.1233
H -1.3350 3.8790 8.3061
H -4.6824 3.2563 7.2274
Sr 5.0146 2.8367 7.3699
H 0.6192 6.7522 6.4969
Sr -1.0029 0.7092 6.1416
H 3.3925 -1.0788 3.3296
H -1.8637 -0.0022 8.2429
H 7.9328 1.3339 0.7305
Pu 3.0087 6.3825 6.1416
H 5.3467 1.7943 1.5204
Pu 7.0204 7.8008 1.2283
H 6.6367 -0.4926 2.3141
Pu -3.0087 2.1275 8.5982
Sr -1.0029 9.2192 1.2283
H 1.3350 0.6228 5.7069
H 8.1654 5.6712 1.5836
H 2.1480 7.0459 0.7899
H 4.6308 5.1808 7.5124
H 5.8753 5.6755 1.5836
H -3.3925 5.0870 5.6438
H -1.3867 -0.5863 4.1827
H 5.3467 8.9296 2.5991
Pu -1.0029 4.9642 6.1416
Pu 9.0262 0.0000 2.4566
Pu 1.0029 5.6733 2.4566
Sr -2.0058 -2.8367 4.9132
H -2.6250 6.1659 7.5124
Pu 1.0029 -0.7092 3.6849
H 7.4041 0.5863 4.1827
H -0.6192 0.4926 2.3141
H 8.1138 -2.8024 6.4337
Sr -1.0029 2.8367 2.4566
Sr -2.0058 5.6733 0.0000
H -4.1538 0.0022 8.2429
H 1.8637 -1.3726 9.0366
Sr 1.0029 3.5458 8.5982
Sr 6.0175 0.0000 0.0000
Sr 3.0087 2.1275 1.2283
H 6.1080 10.0128 0.7305
H -4.1022 8.4757 3.3928
H -3.9211 4.3394 9.0960
H 2.0964 -1.5371 5.7032
H -2.0964 2.8023 6.4337
H 2.1480 4.3030 0.7937
H 1.3866 4.5945 6.4969
H 8.6941 2.4171 2.5991
Pu 5.0146 0.7092 3.6849
H 1.9153 7.2104 4.1233
H 4.1538 -1.3704 9.0328
H 4.1538 1.3725 9.0366
H 5.3983 6.2596 5.6438
H -0.1421 4.3008 0.7899
Sr 1.0029 -2.8367 7.3699
Pu 7.0204 3.5458 1.2283
Sr 5.0146 -3.5458 8.5982
H -0.6708 6.2961 4.1196
H 2.6766 5.0506 4.1196
Sr 4.0117 5.6733 0.0000
Pu -5.0146 5.6733 7.3699
Sr -3.0087 6.3825 3.6849
Sr 4.0117 -2.8367 4.9132
Sr 2.0058 2.8367 4.9132
H 7.3525 -3.8790 8.3061
Pu -3.0087 -2.1275 8.5982
Sr 7.0204 -0.7092 6.1416
Sr 0.0000 0.0000 0.0000
H 1.8637 1.3704 9.0328
H -1.3350 -3.2563 7.2274
Sr 3.0087 8.5100 2.4566
H -2.0964 -4.3394 9.0960
H -3.3409 9.5524 1.5204
Sr 5.0146 4.9642 3.6849
```

Output
The final energy comes out at -4.8079 eV per atom.

# 19
La10Ho4Th after structural relaxation, computed with GGA-PBE.

The structure in extended XYZ format:
```
15
Lattice="0.2493 7.9327 1.9512 -6.6708 3.1290 5.2481 4.4715 2.2136 7.5458" Properties=species:S:1:pos:R:3 pbc="T T T"
La 2.1371 4.7440 7.6240
La -4.0871 8.5313 7.1211
La -1.4951 11.5022 11.8283
Ho -4.4777 10.2784 10.1356
La 2.2398 8.0111 8.4276
La -1.0373 4.6545 6.8847
Ho 0.8377 5.7171 10.8833
La -0.4548 1.7731 2.9168
La -1.5978 8.2352 11.0247
Ho 2.5277 2.9970 4.6095
Ho -2.7877 7.5582 3.8618
La -0.9126 8.6208 7.8603
La -0.3522 5.0401 3.7204
La -4.1897 5.2643 6.3175
Th 0.0000 0.0000 0.0000
```

Output
As for the energy of formation from the pure elements: 0.198 eV/atom.

# 20
CdPPt2 after structural relaxation, computed with GGA-PBE.

The structure in extended XYZ format:
```
4
Lattice="-0.2778 -3.0598 -1.3011 3.1078 0.2251 -1.1930 2.1986 -2.4393 5.2672" Properties=species:S:1:pos:R:3 pbc="T T T"
Pt 2.0977 -2.3274 5.0255
P 3.2549 -3.4587 3.1608
Pt 1.9111 -1.9678 -0.0583
Cd 1.0627 -1.1791 2.5460
```

Output
As for the energy of formation from the pure elements: -0.191 eV/atom. Its energy above the most stable polymorph in this dataset is 67 meV per atom.

# 21
CaCeMgRu after structural relaxation, computed with GGA-PBE.

The structure in extended XYZ format:
```
4
Lattice="-0.0553 -2.7713 4.2490 -3.5382 -3.5773 0.6494 1.2925 -4.9034 -0.1527" Properties=species:S:1:pos:R:3 pbc="T T T"
Ru -1.7258 -8.4390 3.5594
Ce -1.1505 -5.6260 2.3729
Mg -0.5753 -2.8130 1.1865
Ca 0.0000 0.0000 0.0000
```

Output
As for the energy of formation from the pure elements: 0.065 eV/atom.

# 22
CaTc3Au after structural relaxation, computed with GGA-PBE.

The structure in extended XYZ format:
```
5
Lattice="-3.0376 2.7350 -2.0201 -3.3831 -2.7023 1.4286 -0.3403 2.4507 3.8297" Properties=species:S:1:pos:R:3 pbc="T T T"
Au -3.3805 1.2417 1.6191
Tc -1.5188 1.3675 -1.0100
Tc -1.6916 -1.3511 0.7143
Ca 0.0000 0.0000 0.0000
Tc -0.1701 1.2253 1.9149
```

Output
As for the energy of formation from the pure elements: 2.494 eV/atom. Its energy above the most stable polymorph in this dataset is 602 meV per atom.